1.
Below is Rb2YInMo at its PBEsol-relaxed geometry, with properties calculated at the meta-GGA SCAN level.

Values from the calculation:
ΔE_f, eV/atom: 1.290

Cell lengths 6.324, 6.324, 5.377 Å; angles 90.00, 90.00, 90.00 degrees
Fractional positions:
Rb1 0.000 0.500 0.000
Rb2 0.500 0.000 0.000
Y1 0.000 0.000 0.500
In1 0.500 0.500 0.500
Mo1 0.500 0.500 0.000



2.
Below is In2ReMo at its PBEsol-relaxed geometry, with properties calculated at the meta-GGA SCAN level.

Values from the calculation:
ΔE_f, eV/atom: 0.652
Polymorph energy (0 for the lowest one), meV/atom: 48

Cell lengths 3.997, 3.997, 4.350 Å; angles 90.00, 90.00, 90.00 degrees
Fractional positions:
In1 0.000 0.500 0.000
In2 0.500 0.000 0.000
Re1 0.000 0.000 0.500
Mo1 0.500 0.500 0.500



3.
Below is In2ReMo at its PBEsol-relaxed geometry, with properties calculated at the meta-GGA SCAN level.

Values from the calculation:
ΔE_f, eV/atom: 0.610
Polymorph energy (0 for the lowest one), meV/atom: 6

Cell lengths 3.207, 4.706, 9.228 Å; angles 90.00, 90.00, 90.00 degrees
Fractional positions:
In1 0.000 0.000 0.247
In2 0.000 0.000 0.753
In3 0.500 0.500 0.253
In4 0.500 0.500 0.747
Re1 0.000 0.500 0.500
Re2 0.500 0.000 0.000
Mo1 0.000 0.500 0.000
Mo2 0.500 0.000 0.500



4.
Below is In2ReMo at its PBEsol-relaxed geometry, with properties calculated at the meta-GGA SCAN level.

Values from the calculation:
ΔE_f, eV/atom: 0.628
Polymorph energy (0 for the lowest one), meV/atom: 23

Cell lengths 3.252, 4.680, 9.143 Å; angles 90.00, 90.00, 90.00 degrees
Fractional positions:
In1 0.000 0.000 0.249
In2 0.000 0.000 0.751
In3 0.500 0.500 0.249
In4 0.500 0.500 0.751
Re1 0.000 0.500 0.000
Re2 0.500 0.000 0.000
Mo1 0.000 0.500 0.500
Mo2 0.500 0.000 0.500